Record 1
# RbNaB2F8

A geometry-optimized RbNaB2F8 structure (PBE-GGA, the Alexandria database).

Output
Its space group is C2/m, No. 12. The value obtained for the uncorrected formation energy is -68.75 kcal/mol of atoms. The calculation puts the total DFT energy (no corrections) at -5.532 eV/atom. The calculation puts the spin magnetization at 0.221 μB per formula unit.

Geometry as POSCAR:
```
RbNaB2F8
1.0
-1.426 4.680 0.062
-2.291 1.252 -4.138
-7.664 -1.544 2.838
F B Rb Na
8 2 1 1
Direct
0.290 0.714 0.211 F
0.714 0.290 0.211 F
0.672 0.672 0.367 F
0.286 0.710 0.789 F
0.726 0.726 0.085 F
0.274 0.274 0.915 F
0.710 0.286 0.789 F
0.328 0.328 0.633 F
0.398 0.398 0.782 B
0.602 0.602 0.218 B
0.000 0.000 0.500 Rb
0.000 0.000 0.000 Na
```

---

Record 2
# NaBRu2F

A geometry-optimized NaBRu2F structure (PBE-GGA, the Alexandria database).

Output
Its space group is P4/mmm, No. 123. The value obtained for the uncorrected formation energy is 42.06 kcal/mol of atoms. The calculation puts the total DFT energy (no corrections) at -3.860 eV/atom. The calculation puts the spin magnetization at 4.236 μB per formula unit.

Geometry as POSCAR:
```
NaBRu2F
1.0
4.738 0.000 0.000
0.000 3.638 0.000
0.000 0.000 4.738
Na B F Ru
1 1 1 2
Direct
0.000 0.000 0.000 Na
0.500 0.500 0.500 B
0.000 0.500 0.000 F
0.000 0.000 0.500 Ru
0.500 0.000 0.000 Ru
```

---

Record 3
# Na2BSF

A geometry-optimized Na2BSF structure (PBE-GGA, the Alexandria database).

Output
Its space group is P4/mmm, No. 123. The value obtained for the uncorrected formation energy is -0.51 kcal/mol of atoms. The calculation puts the total DFT energy (no corrections) at -3.085 eV/atom. The calculation puts the spin magnetization at 0.292 μB per formula unit.

Geometry as POSCAR:
```
Na2BSF
1.0
-0.484 -1.785 4.908
3.261 -1.467 -0.212
2.116 4.439 1.824
Na B S F
2 1 1 1
Direct
0.500 0.000 0.000 Na
0.000 0.000 0.500 Na
0.000 0.000 0.000 B
0.500 0.500 0.500 S
0.000 0.500 0.000 F
```

---

Record 4
# NaSnB2F8

A geometry-optimized NaSnB2F8 structure (PBE-GGA, the Alexandria database).

Output
Its space group is P-3m1, No. 164. The value obtained for the uncorrected formation energy is -59.23 kcal/mol of atoms. The calculation puts the total DFT energy (no corrections) at -5.372 eV/atom. The calculation puts the spin magnetization at 1.018 μB per formula unit.

Geometry as POSCAR:
```
NaSnB2F8
1.0
5.315 0.000 0.000
-2.657 4.603 0.000
0.000 0.000 8.055
F B Sn Na
8 2 1 1
Direct
0.812 0.188 0.189 F
0.188 0.812 0.811 F
0.667 0.333 0.423 F
0.624 0.812 0.811 F
0.333 0.667 0.577 F
0.376 0.188 0.189 F
0.812 0.624 0.189 F
0.188 0.376 0.811 F
0.333 0.667 0.753 B
0.667 0.333 0.247 B
0.000 0.000 0.500 Sn
0.000 0.000 0.000 Na
```

---

Record 5
# Na2SnBF

A geometry-optimized Na2SnBF structure (PBE-GGA, the Alexandria database).

Output
Its space group is P4/mmm, No. 123. The value obtained for the uncorrected formation energy is 5.52 kcal/mol of atoms. The calculation puts the total DFT energy (no corrections) at -2.799 eV/atom. The calculation puts the spin magnetization at 0.261 μB per formula unit.

Geometry as POSCAR:
```
Na2SnBF
1.0
-5.717 0.156 0.558
0.182 -2.400 2.541
0.495 4.180 3.912
Na F B Sn
2 1 1 1
Direct
0.500 0.000 0.000 Na
0.000 0.000 0.500 Na
0.000 0.500 0.000 F
0.000 0.000 0.000 B
0.500 0.500 0.500 Sn
```

---

Record 6
# NaSrB2F8

A geometry-optimized NaSrB2F8 structure (PBE-GGA, the Alexandria database).

Output
Its space group is P-3, No. 147. The value obtained for the uncorrected formation energy is -65.42 kcal/mol of atoms. The calculation puts the total DFT energy (no corrections) at -5.447 eV/atom. The calculation puts the spin magnetization at 0.000 μB per formula unit.

Geometry as POSCAR:
```
NaSrB2F8
1.0
-0.241 5.365 0.037
-0.142 -2.726 4.625
8.180 0.364 0.466
F Na B Sr
8 1 2 1
Direct
0.667 0.333 0.105 F
0.651 0.077 0.338 F
0.349 0.923 0.662 F
0.426 0.349 0.338 F
0.923 0.574 0.338 F
0.333 0.667 0.895 F
0.574 0.651 0.662 F
0.077 0.426 0.662 F
0.000 0.000 0.000 Na
0.333 0.667 0.727 B
0.667 0.333 0.273 B
0.000 0.000 0.500 Sr
```